Computed, not measured: a geometry-optimized CeMn4Al8 structure at the GGA-PBE level of DFT.

a = 5.165 Å, b = 6.762 Å, c = 6.762 Å
α = 81.61°, β = 67.55°, γ = 67.55°
Each line ends with the local moment (μB).
Sites, in units of the cell vectors:
Ce 0.000 0.000 0.000  -0.43
Mn 0.000 0.000 0.500  2.21
Mn 0.500 0.000 0.500  2.21
Mn 0.000 0.500 0.000  2.21
Mn 0.500 0.500 0.000  2.21
Al 0.340 0.660 0.660  -0.03
Al 0.000 0.340 0.660  -0.03
Al 0.000 0.660 0.340  -0.03
Al 0.660 0.340 0.340  -0.03
Al 0.274 0.226 0.226  -0.04
Al 0.500 0.774 0.226  -0.04
Al 0.500 0.226 0.774  -0.04
Al 0.726 0.774 0.774  -0.04

Summary:
E_tot	-76.807	eV/f.u.


Computed, not measured: a geometry-optimized RbTl2Au structure at the GGA-PBE level of DFT.

a = 5.680 Å, b = 5.680 Å, c = 11.000 Å
α = 75.04°, β = 75.04°, γ = 90.00°
Sites, in units of the cell vectors:
Tl 0.782 0.125 0.250
Tl 0.968 0.625 0.250
Tl 0.375 0.218 0.750
Tl 0.875 0.032 0.750
Au 0.000 0.000 0.000
Au 0.750 0.250 0.500
Rb 0.500 0.500 0.000
Rb 0.250 0.750 0.500

Summary:
E_tot	-8.965	eV/f.u.


Computed, not measured: a geometry-optimized Ta4TlSb structure at the GGA-PBE level of DFT.

a = 5.610 Å, b = 5.610 Å, c = 5.610 Å
α = 60.00°, β = 60.00°, γ = 60.00°
Sites, in units of the cell vectors:
Ta 0.376 0.873 0.376
Ta 0.873 0.376 0.376
Ta 0.376 0.376 0.873
Ta 0.376 0.376 0.376
Tl 0.750 0.750 0.750
Sb 0.000 0.000 0.000

Summary:
formation energy from raw total energies	3.0	eV/f.u.


Number 1: total moment 0.6304 μB/atom. Number 2: total moment 0.0000 μB/atom. Number 3: total moment 0.0000 μB/atom.